Entry 1:
Entry from Alexandria: a relaxed structure of CsLiEr2Cl8 (PBE-GGA).

Structure (POSCAR):
```
CsLiEr2Cl8
1.0
6.8085 0.0000 0.0000
1.0351 6.9208 0.0000
0.0067 0.0115 8.3400
Cs Li Er Cl
1 1 2 8
direct
0.0000 0.0000 0.0000
0.0000 0.0000 0.5000
0.5003 0.5001 0.2623
0.4997 0.4999 0.7377
0.2501 0.8124 0.7016
0.2521 0.8135 0.2978
0.2988 0.3611 0.4998
0.3110 0.3772 0.0005
0.6890 0.6228 0.9995
0.7012 0.6389 0.5002
0.7479 0.1865 0.7022
0.7499 0.1876 0.2984
```

Values from the calculation:
Calculated total energy in eV/atom: -4.317
Total moment in μB per atom: 0.00
SG: No. 2

Entry 2:
Entry from Alexandria: a relaxed structure of CsLi2ErCl6 (PBE-GGA).

Structure (POSCAR):
```
CsLi2ErCl6
1.0
6.5901 0.0000 0.0000
3.2911 5.7117 0.0000
3.2646 1.8974 8.3598
Cs Li Er Cl
1 2 1 6
direct
0.0000 0.0000 0.0000
0.1717 0.1702 0.4874
0.8283 0.8298 0.5126
0.5000 0.5000 0.5000
0.1092 0.7761 0.6719
0.2248 0.5554 0.3278
0.4434 0.1095 0.6724
0.5566 0.8905 0.3276
0.7752 0.4446 0.6722
0.8908 0.2239 0.3281
```

Values from the calculation:
Calculated total energy in eV/atom: -4.101
Total moment in μB per atom: 0.00
SG: No. 2

Entry 3:
Entry from Alexandria: a relaxed structure of Cs3Li2ErCl8 (PBE-GGA).

Structure (POSCAR):
```
Cs3Li2ErCl8
1.0
7.4536 0.0000 0.0000
-3.7268 6.4550 0.0000
0.0000 0.0000 9.7657
Cs Li Er Cl
3 2 1 8
direct
0.0000 0.0000 0.0000
0.3333 0.6667 0.6656
0.6667 0.3333 0.3344
0.3333 0.6667 0.2259
0.6667 0.3333 0.7741
0.0000 0.0000 0.5000
0.1641 0.3282 0.3422
0.1641 0.8359 0.3422
0.3282 0.1641 0.6578
0.3333 0.6667 0.9991
0.6667 0.3333 0.0009
0.6718 0.8359 0.3422
0.8359 0.1641 0.6578
0.8359 0.6718 0.6578
```

Values from the calculation:
Calculated total energy in eV/atom: -3.862
Total moment in μB per atom: 0.00
SG: No. 164

Entry 4:
Entry from Alexandria: a relaxed structure of CsErMg2Cl8 (PBE-GGA).

Structure (POSCAR):
```
CsErMg2Cl8
1.0
6.6254 0.0000 0.0000
2.0236 6.4106 0.0000
2.5714 2.1825 8.7849
Cs Er Mg Cl
1 1 2 8
direct
0.0000 0.0000 0.0000
0.0000 0.0000 0.5000
0.4592 0.4508 0.2110
0.5408 0.5492 0.7890
0.1855 0.7136 0.7213
0.2569 0.7788 0.3025
0.2758 0.2323 0.4450
0.3843 0.3045 0.0307
0.6157 0.6955 0.9693
0.7242 0.7677 0.5550
0.7431 0.2212 0.6975
0.8145 0.2864 0.2787
```

Values from the calculation:
Calculated total energy in eV/atom: -3.927
Total moment in μB per atom: 0.00
SG: No. 2

Entry 5:
Entry from Alexandria: a relaxed structure of CsEr2MnCl8 (PBE-GGA).

Structure (POSCAR):
```
CsEr2MnCl8
1.0
3.3165 1.9148 8.9747
-3.3165 1.9148 8.9747
0.0000 -3.8296 8.9747
Cs Er Mn Cl
1 2 1 8
direct
0.0000 0.0000 0.0000
0.1966 0.1966 0.1966
0.8034 0.8034 0.8034
0.5000 0.5000 0.5000
0.1808 0.8005 0.3820
0.1995 0.6180 0.8192
0.2910 0.2910 0.2910
0.3820 0.1808 0.8005
0.6180 0.8192 0.1995
0.7090 0.7090 0.7090
0.8005 0.3820 0.1808
0.8192 0.1995 0.6180
```

Values from the calculation:
Calculated total energy in eV/atom: -4.518
Total moment in μB per atom: 0.00
SG: No. 148

Entry 6:
Entry from Alexandria: a relaxed structure of CsErMn2Cl8 (PBE-GGA).

Structure (POSCAR):
```
CsErMn2Cl8
1.0
3.2284 1.8639 10.9136
-3.2284 1.8639 10.9136
0.0000 -3.7279 10.9136
Cs Er Mn Cl
1 1 2 8
direct
0.0000 0.0000 0.0000
0.5000 0.5000 0.5000
0.2422 0.2422 0.2422
0.7578 0.7578 0.7578
0.1376 0.4392 0.7675
0.2325 0.5608 0.8624
0.3118 0.3118 0.3118
0.4392 0.7675 0.1376
0.5608 0.8624 0.2325
0.6882 0.6882 0.6882
0.7675 0.1376 0.4392
0.8624 0.2325 0.5608
```

Values from the calculation:
Calculated total energy in eV/atom: -4.818
Total moment in μB per atom: 0.83
SG: No. 155

These records have raw formation energy values of -2.095 -2.069 -2.025 -1.979 -1.691 -1.608 eV/atom, in the order they appear.